Entry 1:
# Li2GeS3 (PBE, relaxed)
data_Li2GeS3
_cell_length_a 11.8390
_cell_length_b 6.8569
_cell_length_c 6.1885
_cell_angle_alpha 90.00
_cell_angle_beta 90.00
_cell_angle_gamma 90.00
_space_group_name_H-M_alt 'C m c 21'
_space_group_IT_number 36
loop_
_space_group_symop_operation_xyz
'x,y,z'
'-x,-y,z+1/2'
'-x,y,z'
'x,-y,z+1/2'
'x+1/2,y+1/2,z'
'-x+1/2,-y+1/2,z+1/2'
'-x+1/2,y+1/2,z'
'x+1/2,-y+1/2,z+1/2'
loop_
_atom_site_label
_atom_site_fract_x
_atom_site_fract_y
_atom_site_fract_z
Li1 0.1663 0.1536 0.0000
Ge1 0.0000 0.3331 0.5164
S1 0.0000 0.3490 0.1377
S2 0.1567 0.1885 0.6090
# Calculated total energy in eV/f.u.: -26.2
# Uncorrected formation energy in eV per atom: -0.8951

***

Entry 2:
# NpBe4Nb (PBE, relaxed)
data_NpBe4Nb
_cell_length_a 6.7456
_cell_length_b 6.7456
_cell_length_c 6.7456
_cell_angle_alpha 90.00
_cell_angle_beta 90.00
_cell_angle_gamma 90.00
_space_group_name_H-M_alt 'F -4 3 m'
_space_group_IT_number 216
_space_group_name_Hall 'F -4 2 3'
loop_
_atom_site_label
_atom_site_fract_x
_atom_site_fract_y
_atom_site_fract_z
Np1 0.0000 0.0000 0.0000
Be1 0.1239 0.1239 0.6239
Nb1 0.2500 0.2500 0.2500
# Calculated total energy in eV/f.u.: -36.8
# ΔH_f (0 K) in eV/atom: 0.1878

***

Entry 3:
# KPuNpO6 (PBE, relaxed)
data_KPuNpO6
_cell_length_a 5.8833
_cell_length_b 5.8833
_cell_length_c 11.1711
_cell_angle_alpha 90.00
_cell_angle_beta 90.00
_cell_angle_gamma 120.00
_space_group_name_H-M_alt 'P -3 1 c'
_space_group_IT_number 163
_space_group_name_Hall '-P 3 2c'
loop_
_atom_site_label
_atom_site_fract_x
_atom_site_fract_y
_atom_site_fract_z
K1 0.0000 0.0000 0.0000
Pu1 0.3333 0.6667 0.2500
Np1 0.3333 0.6667 0.7500
O1 0.0104 0.3883 0.6554
# Calculated total energy in eV/f.u.: -81.7
# Uncorrected formation energy in eV per atom: -2.6164

***

Entry 4:
# DyMgScZn (PBE, relaxed)
data_DyMgScZn
_cell_length_a 7.1368
_cell_length_b 7.1368
_cell_length_c 7.1368
_cell_angle_alpha 90.00
_cell_angle_beta 90.00
_cell_angle_gamma 90.00
_space_group_name_H-M_alt 'F -4 3 m'
_space_group_IT_number 216
_space_group_name_Hall 'F -4 2 3'
loop_
_atom_site_label
_atom_site_fract_x
_atom_site_fract_y
_atom_site_fract_z
Dy1 0.0000 0.0000 0.0000
Mg1 0.2500 0.2500 0.7500
Sc1 0.0000 0.0000 0.5000
Zn1 0.2500 0.2500 0.2500
# Calculated total energy in eV/f.u.: -14.5
# ΔH_f (0 K) in eV/atom: -0.1689